{
  "formula": "Ac3HoSb4",
  "functional": "PBE",
  "state": "optimized geometry",
  "lattice_angstrom": [[4.6968, -6.6390, 0.0000], [4.6968, 6.6390, 0.0000], [0.0000, 0.0000, 4.7036]],
  "species": ["Ac", "Ac", "Ac", "Ho", "Sb", "Sb", "Sb", "Sb"],
  "fractional_positions": [[0.0000, 0.0000, 0.0000], [0.0000, 0.5000, 0.5000], [0.5000, 0.0000, 0.5000], [0.5000, 0.5000, 0.0000], [0.2585, 0.7415, 0.0000], [0.2660, 0.2660, 0.5000], [0.7340, 0.7340, 0.5000], [0.7415, 0.2585, 0.0000]],
  "spacegroup": "Cmmm (65)",
  "raw_formation_energy_mev_per_atom": -1156,
  "polymorph_energy_ev_per_fu": 0.02
}

{
  "formula": "TmTlPb3",
  "functional": "PBE",
  "state": "optimized geometry",
  "lattice_angstrom": [[3.3369, -8.0700, 0.0000], [3.3369, 8.0700, 0.0000], [0.0000, 0.0000, 6.1673]],
  "species": ["Tm", "Tm", "Tl", "Tl", "Pb", "Pb", "Pb", "Pb", "Pb", "Pb"],
  "fractional_positions": [[0.1707, 0.8293, 0.7500], [0.8293, 0.1707, 0.2500], [0.3574, 0.6426, 0.2500], [0.6426, 0.3574, 0.7500], [0.0000, 0.0000, 0.0000], [0.0000, 0.0000, 0.5000], [0.0803, 0.4030, 0.7500], [0.4030, 0.0803, 0.2500], [0.5970, 0.9197, 0.7500], [0.9197, 0.5970, 0.2500]],
  "spacegroup": "Cmcm (63)",
  "delta_e_f_ev_per_atom": -0.048
}

{
  "formula": "HgSe",
  "functional": "PBE",
  "state": "optimized geometry",
  "lattice_angstrom": [[3.8466, -2.0061, 0.0000], [3.8466, 2.0061, 0.0000], [-1.3503, 0.0000, 10.3206]],
  "species": ["Hg", "Hg", "Hg", "Se", "Se", "Se"],
  "fractional_positions": [[0.0000, 0.0000, 0.0000], [0.0743, 0.0743, 0.4897], [0.7130, 0.7130, 0.3138], [0.3616, 0.3616, 0.1481], [0.4347, 0.4347, 0.6432], [0.6164, 0.6164, 0.8440]],
  "spacegroup": "Cm (8)",
  "raw_formation_energy_mev_per_atom": 2
}

{
  "formula": "NiTeAsN2",
  "functional": "PBE",
  "state": "optimized geometry",
  "lattice_angstrom": [[3.8336, 0.0000, 0.0000], [0.0000, 3.8336, 0.0000], [0.0000, 0.0000, 5.2560]],
  "species": ["Ni", "Te", "As", "N", "N"],
  "fractional_positions": [[0.0000, 0.0000, 0.0000], [0.0000, 0.0000, 0.5000], [0.5000, 0.5000, 0.5000], [0.0000, 0.5000, 0.0000], [0.5000, 0.0000, 0.0000]],
  "spacegroup": "P4/mmm (123)",
  "raw_formation_energy_mev_per_atom": 1393,
  "polymorph_energy_ev_per_fu": 0.30
}

{
  "formula": "Cu2SiRh",
  "functional": "PBE",
  "state": "optimized geometry",
  "lattice_angstrom": [[3.2414, 0.0000, 0.0000], [0.0000, 3.2414, 0.0000], [0.0000, 0.0000, 4.9940]],
  "species": ["Cu", "Cu", "Si", "Rh"],
  "fractional_positions": [[0.0000, 0.0000, 0.2422], [0.0000, 0.0000, 0.7578], [0.5000, 0.5000, 0.0000], [0.5000, 0.5000, 0.5000]],
  "spacegroup": "P4/mmm (123)",
  "raw_formation_energy_mev_per_atom": -47
}

{
  "formula": "AcPr5Zn4",
  "functional": "PBE",
  "state": "optimized geometry",
  "lattice_angstrom": [[3.7454, 0.0000, 0.0000], [0.0000, 3.7454, 0.0000], [0.0000, 0.0000, 20.3018]],
  "species": ["Ac", "Pr", "Pr", "Pr", "Pr", "Pr", "Zn", "Zn", "Zn", "Zn"],
  "fractional_positions": [[0.0000, 0.0000, 0.0000], [0.5000, 0.5000, 0.1391], [0.5000, 0.5000, 0.3195], [0.5000, 0.5000, 0.5000], [0.5000, 0.5000, 0.6805], [0.5000, 0.5000, 0.8609], [0.0000, 0.0000, 0.2278], [0.0000, 0.0000, 0.4088], [0.0000, 0.0000, 0.5912], [0.0000, 0.0000, 0.7722]],
  "spacegroup": "P4/mmm (123)",
  "delta_e_f_ev_per_atom": -0.236
}

{
  "formula": "CdPt3Au6",
  "functional": "PBE",
  "state": "optimized geometry",
  "lattice_angstrom": [[4.6298, -6.3012, 0.0000], [4.6298, 6.3012, 0.0000], [0.0000, 0.0000, 6.6050]],
  "species": ["Cd", "Cd", "Pt", "Pt", "Pt", "Pt", "Pt", "Pt", "Au", "Au", "Au", "Au", "Au", "Au", "Au", "Au", "Au", "Au", "Au", "Au"],
  "fractional_positions": [[0.2401, 0.7599, 0.5000], [0.7599, 0.2401, 0.0000], [0.0119, 0.2849, 0.6697], [0.2849, 0.0119, 0.1697], [0.4258, 0.5742, 0.2652], [0.5742, 0.4258, 0.7652], [0.7151, 0.9881, 0.6697], [0.9881, 0.7151, 0.1697], [0.0250, 0.9750, 0.8645], [0.0549, 0.4082, 0.2761], [0.2618, 0.3246, 0.9719], [0.2966, 0.7034, 0.9281], [0.3246, 0.2618, 0.4719], [0.4082, 0.0549, 0.7761], [0.5918, 0.9451, 0.2761], [0.6754, 0.7382, 0.9719], [0.7034, 0.2966, 0.4281], [0.7382, 0.6754, 0.4719], [0.9451, 0.5918, 0.7761], [0.9750, 0.0250, 0.3645]],
  "spacegroup": "Cmc2_1 (36)",
  "delta_e_f_ev_per_atom": 0.135
}

{
  "formula": "La2FeGeW",
  "functional": "PBE",
  "state": "optimized geometry",
  "lattice_angstrom": [[5.5313, 0.0000, 0.0000], [0.0000, 5.5313, 0.0000], [0.0000, 0.0000, 4.8811]],
  "species": ["La", "La", "Fe", "Ge", "W"],
  "fractional_positions": [[0.0000, 0.5000, 0.0000], [0.5000, 0.0000, 0.0000], [0.0000, 0.0000, 0.5000], [0.5000, 0.5000, 0.5000], [0.5000, 0.5000, 0.0000]],
  "spacegroup": "P4/mmm (123)",
  "delta_e_f_ev_per_atom": 0.719
}

{
  "formula": "DyYBr",
  "functional": "PBE",
  "state": "optimized geometry",
  "lattice_angstrom": [[5.6623, -2.9583, 0.0000], [5.6623, 2.9583, 0.0000], [-3.1192, 0.0000, 5.0654]],
  "species": ["Dy", "Dy", "Y", "Y", "Br", "Br"],
  "fractional_positions": [[0.1843, 0.1843, 0.4352], [0.8157, 0.8157, 0.5648], [0.4339, 0.4339, 0.1838], [0.5661, 0.5661, 0.8162], [0.1247, 0.1247, 0.8748], [0.8753, 0.8753, 0.1252]],
  "spacegroup": "C2/m (12)",
  "raw_formation_energy_mev_per_atom": -617,
  "polymorph_energy_ev_per_fu": 0.38
}

{
  "formula": "Nb4SiGe",
  "functional": "PBE",
  "state": "optimized geometry",
  "lattice_angstrom": [[4.3035, -5.8354, 0.0000], [4.3035, 5.8354, 0.0000], [-3.7043, 0.0000, 4.6918]],
  "species": ["Nb", "Nb", "Nb", "Nb", "Nb", "Nb", "Nb", "Nb", "Si", "Si", "Ge", "Ge"],
  "fractional_positions": [[0.0011, 0.5450, 0.2500], [0.1551, 0.2069, 0.0963], [0.2069, 0.1551, 0.5963], [0.4550, 0.9989, 0.2500], [0.5450, 0.0011, 0.7500], [0.7931, 0.8449, 0.4037], [0.8449, 0.7931, 0.9037], [0.9989, 0.4550, 0.7500], [0.1513, 0.8487, 0.7500], [0.8487, 0.1513, 0.2500], [0.3800, 0.6200, 0.2500], [0.6200, 0.3800, 0.7500]],
  "spacegroup": "C2/c (15)",
  "raw_formation_energy_mev_per_atom": 56,
  "polymorph_energy_ev_per_fu": 3.31
}

{
  "formula": "Zr6TlZn",
  "functional": "PBE",
  "state": "optimized geometry",
  "lattice_angstrom": [[5.5873, 0.0000, 0.0000], [0.0000, 5.5873, 0.0000], [0.0000, 0.0000, 5.5873]],
  "species": ["Zr", "Zr", "Zr", "Zr", "Zr", "Zr", "Tl", "Zn"],
  "fractional_positions": [[0.0000, 0.2535, 0.5000], [0.0000, 0.7465, 0.5000], [0.2535, 0.5000, 0.0000], [0.5000, 0.0000, 0.2535], [0.5000, 0.0000, 0.7465], [0.7465, 0.5000, 0.0000], [0.0000, 0.0000, 0.0000], [0.5000, 0.5000, 0.5000]],
  "spacegroup": "Pm-3 (200)",
  "polymorph_energy_ev_per_fu": 0.02,
  "delta_e_f_ev_per_atom": -0.121
}

| no. | electronic total energy (eV/atom) |
| --- | --- |
| 1 | -5.3301 |
| 2 | -3.6401 |
| 3 | -1.8915 |
| 4 | -4.6516 |
| 5 | -5.2885 |
| 6 | -3.5459 |
| 7 | -3.7353 |
| 8 | -6.4588 |
| 9 | -4.8632 |
| 10 | -8.3310 |
| 11 | -6.9868 |